(1)
! LiZnAu3, optimized geometry, DFT PBE-GGA; values from VASP
! SG = P-1 (2)
! Offset from the most stable computed form = 0.0 kJ per mole of atoms
&SYSTEM
  ibrav = 0, nat = 10, ntyp = 3
/
ATOMIC_SPECIES
Li 6.94 Li.upf
Zn 65.41 Zn.upf
Au 196.97 Au.upf
ATOMIC_POSITIONS angstrom
Li 4.5943 3.6392 1.4642
Li 2.7754 1.3604 5.6621
Zn 1.9051 1.4827 0.6262
Zn 1.0100 3.7574 5.1460
Au 0.9537 1.4807 3.6558
Au 4.5546 1.2420 7.7740
Au 3.6437 3.6342 4.4945
Au 3.7246 1.3651 2.6313
Au 1.9603 3.7596 2.1158
Au 2.7884 3.6373 7.2666
CELL_PARAMETERS angstrom
4.4540 -0.2409 1.3540
0.9243 4.5534 0.2954
-0.0250 -0.1201 7.9148

---

(2)
! Li2Zn3Au, optimized geometry, DFT PBE-GGA; values from VASP
! SG = Fmmm (69)
&SYSTEM
  ibrav = 0, nat = 12, ntyp = 3
/
ATOMIC_SPECIES
Li 6.94 Li.upf
Zn 65.41 Zn.upf
Au 196.97 Au.upf
ATOMIC_POSITIONS angstrom
Li -0.6930 2.5188 3.9080
Li 2.7727 2.8825 0.0000
Li 2.5438 -0.5946 3.9080
Li 0.9290 0.9658 0.0000
Zn 0.2065 3.5058 1.2867
Zn -1.6443 1.5816 6.5293
Zn 1.6443 -1.5816 6.5293
Zn 3.4951 0.3425 1.2867
Zn 0.0000 0.0000 2.5999
Zn 1.8508 1.9241 5.2162
Au 1.8508 1.9241 2.5790
Au 0.0000 0.0000 5.2371
CELL_PARAMETERS angstrom
5.0876 -1.1893 0.0000
-1.3860 5.0376 0.0000
-1.8508 -1.9241 7.8161

---

(3)
! LiZn6Au3, optimized geometry, DFT PBE-GGA; values from VASP
! SG = P2_1/m (11)
! Offset from the most stable computed form = 0.0 kJ per mole of atoms
&SYSTEM
  ibrav = 0, nat = 20, ntyp = 3
/
ATOMIC_SPECIES
Li 6.94 Li.upf
Zn 65.41 Zn.upf
Au 196.97 Au.upf
ATOMIC_POSITIONS angstrom
Li 3.4251 4.2065 4.1121
Li 1.1417 2.7459 3.3170
Zn 3.4251 4.2376 -0.6672
Zn 1.1417 2.7149 8.0963
Zn 3.4251 -0.0204 1.6868
Zn 1.1417 6.9729 5.7423
Zn 3.4251 0.0099 6.4774
Zn 1.1417 6.9426 0.9517
Zn 3.4251 1.3869 4.0300
Zn 1.1417 5.5656 3.3991
Zn 3.4251 2.7372 1.7434
Zn 1.1417 4.2152 5.6857
Zn 3.4251 5.6101 6.5779
Zn 1.1417 1.3424 0.8511
Au 3.4251 5.6490 1.8585
Au 1.1417 1.3034 5.5706
Au 3.4251 2.9456 6.4443
Au 1.1417 4.0069 0.9848
Au 3.4251 1.2613 8.9436
Au 1.1417 5.6912 -1.5145
CELL_PARAMETERS angstrom
4.5668 0.0000 0.0000
0.0000 7.0742 -2.2781
0.0000 -0.1218 9.7071

---

(4)
! Li5Zn5Au2, optimized geometry, DFT PBE-GGA; values from VASP
! SG = P-1 (2)
&SYSTEM
  ibrav = 0, nat = 12, ntyp = 3
/
ATOMIC_SPECIES
Li 6.94 Li.upf
Zn 65.41 Zn.upf
Au 196.97 Au.upf
ATOMIC_POSITIONS angstrom
Li -1.8916 -3.0746 9.9100
Li 0.6322 -1.9495 10.3114
Li -2.0103 -1.1382 5.6202
Li 0.5134 -0.0131 6.0216
Li 0.0000 0.0000 0.0000
Zn -0.6891 -1.5438 7.9658
Zn -0.3310 0.5525 9.7398
Zn -0.7317 0.5233 3.6591
Zn -0.6465 -3.6110 12.2726
Zn -1.0471 -3.6402 6.1918
Au -1.5871 -1.0382 11.6329
Au 0.2089 -2.0495 4.2987
CELL_PARAMETERS angstrom
-3.4124 -0.5392 3.2974
1.0688 -4.6336 4.8400
0.9655 2.0852 7.7942

---

(5)
! Li2Zn6Au, optimized geometry, DFT PBE-GGA; values from VASP
! SG = C2/m (12)
! Offset from the most stable computed form = 0.0 kJ per mole of atoms
&SYSTEM
  ibrav = 0, nat = 9, ntyp = 3
/
ATOMIC_SPECIES
Li 6.94 Li.upf
Zn 65.41 Zn.upf
Au 196.97 Au.upf
ATOMIC_POSITIONS angstrom
Li 2.0250 1.5146 5.4566
Li 0.0000 2.6747 1.5358
Zn 0.0000 2.8748 6.8856
Zn 2.0250 1.3144 0.1068
Zn 2.0250 3.9432 0.2113
Zn 2.0250 1.3600 2.7447
Zn 0.0000 0.2461 6.7811
Zn 0.0000 2.8292 4.2477
Au 0.0000 0.0785 4.0587
CELL_PARAMETERS angstrom
4.0499 0.0000 0.0000
-2.0250 4.0323 -1.1249
0.0000 0.1570 8.1173

---

(6)
! LiZnAu3, optimized geometry, DFT PBE-GGA; values from VASP
! SG = Pm-3m (221)
! Offset from the most stable computed form = 43.7 kJ per mole of atoms
&SYSTEM
  ibrav = 0, nat = 5, ntyp = 3
/
ATOMIC_SPECIES
Zn 65.41 Zn.upf
Au 196.97 Au.upf
Li 6.94 Li.upf
ATOMIC_POSITIONS angstrom
Zn 0.0000 0.0000 0.0000
Au -2.2025 0.7268 0.7810
Au 0.9638 2.1238 0.7417
Au -0.4575 0.9751 -2.1976
Li -1.6962 3.8256 -0.6749
CELL_PARAMETERS angstrom
-0.9150 1.9501 -4.3951
-4.4050 1.4537 1.5621
1.9277 4.2475 1.4833

---

(7)
! LiZnAu4, optimized geometry, DFT PBE-GGA; values from VASP
! SG = Imma (74)
! Offset from the most stable computed form = 7.6 kJ per mole of atoms
&SYSTEM
  ibrav = 0, nat = 12, ntyp = 3
/
ATOMIC_SPECIES
Li 6.94 Li.upf
Zn 65.41 Zn.upf
Au 196.97 Au.upf
ATOMIC_POSITIONS angstrom
Li -1.6537 3.6650 4.3063
Li 4.1708 0.2920 1.2409
Zn 1.1268 3.8597 1.5379
Zn 1.3903 0.0973 4.0094
Au 2.9014 -1.5317 5.5471
Au -0.1209 1.7264 5.5471
Au -0.1582 1.8793 2.7736
Au 2.6753 2.0777 2.7736
Au 0.1052 -1.8830 2.7736
Au 2.6380 2.2306 0.0001
Au 2.4119 5.8401 2.7736
Au -0.3843 5.4888 0.0001
CELL_PARAMETERS angstrom
5.5611 0.3894 0.0000
-0.5269 7.5247 0.0000
-2.5171 -3.9570 5.5472

---

(8)
! Li4ZnAu2, optimized geometry, DFT PBE-GGA; values from VASP
! SG = Cmmm (65)
! Offset from the most stable computed form = 0.0 kJ per mole of atoms
&SYSTEM
  ibrav = 0, nat = 7, ntyp = 3
/
ATOMIC_SPECIES
Li 6.94 Li.upf
Zn 65.41 Zn.upf
Au 196.97 Au.upf
ATOMIC_POSITIONS angstrom
Li 0.0000 4.4344 3.5678
Li 0.0000 1.0734 0.8636
Li 1.9832 0.0334 2.7777
Li 1.9832 2.7204 -0.5619
Zn 1.9832 2.7539 2.2157
Au 0.0000 3.8952 0.7971
Au 0.0000 1.6125 3.6343
CELL_PARAMETERS angstrom
3.9664 0.0000 0.0000
0.0000 5.4409 -1.1239
0.0000 0.0669 5.5553

---

(9)
! LiZnAu, optimized geometry, DFT PBE-GGA; values from VASP
! SG = P3m1 (156)
! Offset from the most stable computed form = 2.9 kJ per mole of atoms
&SYSTEM
  ibrav = 0, nat = 3, ntyp = 3
/
ATOMIC_SPECIES
Zn 65.41 Zn.upf
Au 196.97 Au.upf
Li 6.94 Li.upf
ATOMIC_POSITIONS angstrom
Zn 0.0000 2.5520 1.7835
Au 0.0000 0.0000 2.7242
Li 2.2101 1.2760 0.9471
CELL_PARAMETERS angstrom
4.4201 0.0000 0.0000
-2.2101 3.8279 0.0000
0.0000 0.0000 2.7274

---

(10)
! LiZn3Au, optimized geometry, DFT PBE-GGA; values from VASP
! SG = Pm-3m (221)
! Offset from the most stable computed form = 35.2 kJ per mole of atoms
&SYSTEM
  ibrav = 0, nat = 5, ntyp = 3
/
ATOMIC_SPECIES
Zn 65.41 Zn.upf
Au 196.97 Au.upf
Li 6.94 Li.upf
ATOMIC_POSITIONS angstrom
Zn -0.1495 -1.5318 -1.9267
Zn 1.6329 -1.5060 1.0707
Zn -1.8418 -1.2109 1.1056
Au 0.0000 0.0000 0.0000
Li -0.3583 -4.2488 0.2496
CELL_PARAMETERS angstrom
-3.6836 -2.4219 2.2112
-0.2989 -3.0636 -3.8534
3.2658 -3.0121 2.1414

---

(11)
! Li3ZnAu3, optimized geometry, DFT PBE-GGA; values from VASP
! SG = Cmmm (65)
! Offset from the most stable computed form = 0.0 kJ per mole of atoms
&SYSTEM
  ibrav = 0, nat = 14, ntyp = 3
/
ATOMIC_SPECIES
Li 6.94 Li.upf
Zn 65.41 Zn.upf
Au 196.97 Au.upf
ATOMIC_POSITIONS angstrom
Li 1.6046 1.6009 3.0292
Li 1.7670 4.7081 3.0280
Li 4.7121 1.7563 3.0280
Li 1.8716 4.6026 -0.0010
Li 4.6069 1.8611 -0.0010
Li 4.8745 4.8634 3.0268
Zn 1.6024 1.5988 6.0572
Zn 4.8767 4.8655 -0.0012
Au 6.4788 6.4640 4.5321
Au 3.1536 0.0789 1.5456
Au 0.0861 3.1534 1.5456
Au 3.3255 6.3854 4.5104
Au 6.3930 3.3109 4.5104
Au 0.0003 0.0003 1.5239
CELL_PARAMETERS angstrom
6.3074 0.1567 -0.0010
0.1711 6.3070 -0.0010
0.0006 0.0006 6.0579

---

(12)
! Li9Zn4Au11, optimized geometry, DFT PBE-GGA; values from VASP
! SG = Cmmm (65)
&SYSTEM
  ibrav = 0, nat = 24, ntyp = 3
/
ATOMIC_SPECIES
Li 6.94 Li.upf
Zn 65.41 Zn.upf
Au 196.97 Au.upf
ATOMIC_POSITIONS angstrom
Li 2.4101 -4.8055 4.5643
Li -7.0954 -3.9719 4.8954
Li -6.1058 -2.5514 2.4380
Li 1.4205 -6.2260 7.0217
Li -5.6728 -6.4080 8.5615
Li 0.9875 -2.3694 0.8982
Li -2.4249 -7.2677 9.3724
Li -2.2604 -1.5097 0.0873
Li -2.3426 -4.3887 4.7299
Zn -4.8209 -4.9667 6.0947
Zn 0.1356 -3.8107 3.3650
Zn -1.3161 -5.8944 6.9698
Zn -3.3692 -2.8830 2.4899
Au -6.7962 -4.0605 7.7222
Au 2.3771 -2.2828 3.2517
Au -0.0967 -5.8338 9.3950
Au -4.3224 -0.5095 1.5790
Au 0.0685 -3.7746 6.0557
Au -4.4875 -2.5687 4.9182
Au 3.7604 -4.7519 6.9776
Au -8.1794 -1.5914 3.9964
Au 0.0000 0.0000 0.0000
Au -3.3669 -4.8329 8.3610
Au -1.0522 -1.5104 2.6129
CELL_PARAMETERS angstrom
-0.2662 -2.4341 -1.5142
7.1326 -5.6445 7.8196
-11.5517 -0.6988 3.1544

---

ΔE_f? In order: -0.35 -0.28 -0.21 -0.29 -0.22 0.10 -0.20 -0.38 -0.36 0.08 -0.42 -0.46 eV/atom.
Spin magnetization? In order: 0.00 0.00 0.00 0.00 0.00 0.00 0.00 0.00 0.00 0.00 0.00 0.00 Bohr magnetons per cell.
E_tot? In order: -2.95 -2.10 -2.15 -2.17 -1.86 -2.50 -2.92 -2.59 -2.51 -1.72 -2.83 -2.89 eV/atom.